## Er5U3N8 (PBE)

Data for Er5U3N8 after structural relaxation.

Formation energy (no corrections) (eV/atom): -1.59
Symmetry: R-3m (166)
Uncorrected energy (eV per atom): -9.30

abc: 6.840 6.840 6.873
angles: 60.16 60.16 60.00
Each line ends with the local moment (μB).
Atoms (fractional coordinates):
Er 0.500 0.500 0.500  0.03
Er 0.500 0.000 0.000  0.05
Er 0.500 0.500 0.000  0.05
Er 0.000 0.000 0.000  0.04
Er 0.000 0.500 0.000  0.05
N 0.750 0.240 0.260  -0.04
N 0.249 0.249 0.254  -0.05
N 0.751 0.751 0.746  -0.05
N 0.240 0.750 0.260  -0.04
N 0.250 0.760 0.740  -0.04
N 0.250 0.250 0.740  -0.04
N 0.760 0.250 0.740  -0.04
N 0.750 0.750 0.260  -0.04
U 0.000 0.500 0.500  1.25
U 0.500 0.000 0.500  1.25
U 0.000 0.000 0.500  1.25


## Ag8Cl8F3 (PBE)

Data for Ag8Cl8F3 after structural relaxation.

Formation energy (no corrections) (eV/atom): -0.57
Symmetry: C2/m (12)
Uncorrected energy (eV per atom): -2.84

abc: 5.127 7.718 11.591
angles: 86.79 102.78 90.00
Atoms (fractional coordinates):
F 0.175 0.228 0.349
F 0.825 0.772 0.651
F 0.500 0.500 0.000
Ag 0.530 0.759 0.061
Ag 0.270 0.280 0.539
Ag 0.128 0.502 0.256
Ag 0.118 0.994 0.236
Ag 0.872 0.498 0.744
Ag 0.730 0.720 0.461
Ag 0.882 0.006 0.764
Ag 0.470 0.241 0.939
Cl 0.960 0.257 0.920
Cl 0.587 0.033 0.174
Cl 0.356 0.467 0.711
Cl 0.781 0.242 0.563
Cl 0.413 0.967 0.826
Cl 0.219 0.758 0.437
Cl 0.644 0.533 0.289
Cl 0.040 0.743 0.080


## ZnCoIr2 (PBE)

Data for ZnCoIr2 after structural relaxation.

Symmetry: Pmmm (47)
Uncorrected energy (eV per atom): -6.49

abc: 2.727 3.607 5.521
angles: 90.00 90.00 90.00
Each line ends with the local moment (μB).
Atoms (fractional coordinates):
Ir 0.000 0.000 0.992  0.34
Ir 0.000 0.000 0.508  0.34
Co 0.500 0.500 0.750  1.67
Zn 0.500 0.500 0.250  0.01


## Cs2Er2HfSe6 (PBE)

Data for Cs2Er2HfSe6 after structural relaxation.

Formation energy (no corrections) (eV/atom): -1.65
Symmetry: C2/m (12)
Uncorrected energy (eV per atom): -5.44

abc: 7.027 7.027 8.915
angles: 97.90 97.90 119.77
Atoms (fractional coordinates):
Hf 0.000 0.000 0.500
Er 0.333 0.667 0.500
Er 0.667 0.333 0.500
Se 0.256 0.256 0.321
Se 0.744 0.744 0.679
Se 0.064 0.380 0.681
Se 0.380 0.064 0.681
Se 0.936 0.620 0.319
Se 0.620 0.936 0.319
Cs 0.170 0.830 0.000
Cs 0.830 0.170 0.000


## InHgIO2 (PBE)

Data for InHgIO2 after structural relaxation.

Formation energy (no corrections) (eV/atom): -0.26
Symmetry: P4/mmm (123)
Relative energy among the computed polymorphs (meV/atom): 0.0
Uncorrected energy (eV per atom): -3.16

abc: 4.235 4.235 6.436
angles: 90.00 90.00 90.00
Atoms (fractional coordinates):
In 0.000 0.000 0.000
I 0.000 0.000 0.500
O 0.500 0.000 0.000
O 0.000 0.500 0.000
Hg 0.500 0.500 0.500


## PrNd3Sm5 (PBE)

Data for PrNd3Sm5 after structural relaxation.

Symmetry: C2/m (12)
Relative energy among the computed polymorphs (meV/atom): 92.3
Uncorrected energy (eV per atom): -4.37

abc: 9.522 9.522 12.629
angles: 53.81 53.81 50.48
Atoms (fractional coordinates):
Sm 0.228 0.641 0.783
Sm 0.672 0.328 0.000
Sm 0.772 0.359 0.217
Sm 0.641 0.228 0.783
Sm 0.736 0.736 0.877
Sm 0.264 0.264 0.123
Sm 0.359 0.772 0.217
Sm 0.379 0.379 0.559
Sm 0.328 0.672 0.000
Sm 0.621 0.621 0.441
Nd 0.000 0.000 0.000
Nd 0.208 0.208 0.915
Nd 0.000 0.000 0.500
Nd 0.681 0.681 0.659
Nd 0.319 0.319 0.341
Nd 0.792 0.792 0.085
Pr 0.116 0.116 0.678
Pr 0.884 0.884 0.322


## Cs2CdAg2I6 (PBE)

Data for Cs2CdAg2I6 after structural relaxation.

Formation energy (no corrections) (eV/atom): -0.78
Symmetry: C2/m (12)
Uncorrected energy (eV per atom): -2.38

abc: 8.526 8.894 8.534
angles: 116.62 90.00 118.64
Atoms (fractional coordinates):
I 0.782 0.086 0.787
I 0.304 0.086 0.787
I 0.265 0.529 0.328
I 0.696 0.914 0.213
I 0.735 0.471 0.672
I 0.218 0.914 0.213
Cs 0.741 0.481 0.217
Cs 0.259 0.519 0.783
Ag 0.935 0.870 0.785
Ag 0.065 0.130 0.215
Cd 0.500 0.000 0.500


## ZrTaSi2 (PBE)

Data for ZrTaSi2 after structural relaxation.

Formation energy (no corrections) (eV/atom): -0.36
Symmetry: Pmmm (47)
Relative energy among the computed polymorphs (meV/atom): 297.9
Uncorrected energy (eV per atom): -8.17

abc: 3.756 4.740 3.806
angles: 90.00 90.00 90.00
Atoms (fractional coordinates):
Ta 0.500 0.000 0.500
Zr 0.000 0.500 0.500
Si 0.500 0.500 0.000
Si 0.000 0.000 0.000